First-principles (PBE) data for a relaxed structure of TaPb3, as listed in Alexandria.

Structure (CIF):
```
data_TaPb3
_symmetry_space_group_name_H-M 'C m m m'
_symmetry_Int_Tables_number 65
_symmetry_space_group_name_Hall '-C 2 2'
_cell_length_a 3.7792
_cell_length_b 5.1971
_cell_length_c 10.9469
_cell_angle_alpha 90.00
_cell_angle_beta 90.00
_cell_angle_gamma 90.00
loop_
_atom_site_label
_atom_site_type_symbol
_atom_site_fract_x
_atom_site_fract_y
_atom_site_fract_z
Ta1 Ta 0.0000 0.0000 0.0000
Pb1 Pb 0.0000 0.0000 0.5000
Pb2 Pb 0.0000 0.5000 0.2139
```

Values from the calculation:
DOS(E_F) = 1.740 states/eV/f.u.
final energy = -42.831 eV for the cell shown
M_tot = 0.00 μB per atom

---

First-principles (PBE) data for a relaxed structure of BaPmO, as listed in Alexandria.

Structure (CIF):
```
data_BaPmO
_symmetry_space_group_name_H-M 'A m m 2'
_symmetry_Int_Tables_number 38
_cell_length_a 13.8326
_cell_length_b 3.5708
_cell_length_c 7.1017
_cell_angle_alpha 90.00
_cell_angle_beta 90.00
_cell_angle_gamma 90.00
loop_
_symmetry_equiv_pos_as_xyz
'x,y,z'
'-x,-y,z'
'-x,y,z'
'x,-y,z'
'x,y+1/2,z+1/2'
'-x,-y+1/2,z+1/2'
'-x,y+1/2,z+1/2'
'x,-y+1/2,z+1/2'
loop_
_atom_site_label
_atom_site_type_symbol
_atom_site_fract_x
_atom_site_fract_y
_atom_site_fract_z
Ba1 Ba 0.1236 0.0000 0.0000
Pm1 Pm 0.3812 0.0000 0.3045
O1 O 0.0000 0.0000 0.6466
O2 O 0.5000 0.0000 0.8008
```

Values from the calculation:
DOS(E_F) = 2.724 states/eV/f.u.
M_tot = 0.17 μB per atom
formation energy from raw total energies = -1.338 eV per atom

---

First-principles (PBE) data for a relaxed structure of AcPrThCd, as listed in Alexandria.

Structure (CIF):
```
data_AcPrThCd
_symmetry_space_group_name_H-M 'F -4 3 m'
_symmetry_Int_Tables_number 216
_symmetry_space_group_name_Hall 'F -4 2 3'
_cell_length_a 8.0842
_cell_length_b 8.0842
_cell_length_c 8.0842
_cell_angle_alpha 90.00
_cell_angle_beta 90.00
_cell_angle_gamma 90.00
loop_
_atom_site_label
_atom_site_type_symbol
_atom_site_fract_x
_atom_site_fract_y
_atom_site_fract_z
Ac1 Ac 0.0000 0.0000 0.0000
Pr1 Pr 0.2500 0.2500 0.7500
Th1 Th 0.2500 0.2500 0.2500
Cd1 Cd 0.0000 0.0000 0.5000
```

Values from the calculation:
DOS(E_F) = 6.043 states/eV/f.u.
final energy = -66.867 eV for the cell shown
M_tot = 0.00 μB per atom

---

First-principles (PBE) data for a relaxed structure of Zr2BAs, as listed in Alexandria.

Structure (CIF):
```
data_Zr2BAs
_symmetry_space_group_name_H-M 'R -3 m'
_symmetry_Int_Tables_number 166
_symmetry_space_group_name_Hall '-R 3 2"'
_cell_length_a 3.6007
_cell_length_b 3.6007
_cell_length_c 18.6988
_cell_angle_alpha 90.00
_cell_angle_beta 90.00
_cell_angle_gamma 120.00
loop_
_atom_site_label
_atom_site_type_symbol
_atom_site_fract_x
_atom_site_fract_y
_atom_site_fract_z
Zr1 Zr 0.0000 0.0000 0.2386
B1 B 0.0000 0.0000 0.5000
As1 As 0.0000 0.0000 0.0000
```

Values from the calculation:
DOS(E_F) = 1.173 states/eV/f.u.
final energy = -95.581 eV for the cell shown
M_tot = 0.00 μB per atom